No. 1
First-principles (PBE) data for BaSrInSb2 after structural relaxation, as listed in Alexandria.

Cell: 7.246 15.499 6.657 Å, 90.00 90.00 90.00°
Space group Cmme (No. 67)
Asymmetric unit:
Ba1 0.000 0.250 0.227 [4 per cell]
Sr1 0.250 0.000 0.500 [4 per cell]
In1 0.000 0.000 0.000 [4 per cell]
Sb1 0.000 0.152 0.735 [8 per cell]

Properties
formation energy without anion corrections	-0.5993	eV per atom

No. 2
First-principles (PBE) data for NaCo3Br after structural relaxation, as listed in Alexandria.

Cell: 4.648 4.648 4.648 Å, 90.00 90.00 90.00°
Space group Pm-3m (No. 221)
Asymmetric unit:
Na1 0.000 0.000 0.000 [1 per cell]
Co1 0.000 0.000 0.500 [3 per cell]
Br1 0.500 0.500 0.500 [1 per cell]

Properties
formation energy without anion corrections	1.9224	eV per atom
relative energy among the computed polymorphs	897	meV/atom

No. 3
First-principles (PBE) data for LiAgRh2 after structural relaxation, as listed in Alexandria.

Cell: 3.653 3.653 19.186 Å, 90.00 90.00 90.00°
Space group I-42d (No. 122)
Asymmetric unit:
Li1 0.000 0.000 0.000 [4 per cell]
Ag1 0.000 0.000 0.500 [4 per cell]
Rh1 0.235 0.250 0.125 [8 per cell]

Properties
calculated formation energy	0.307	eV per atom
relative energy among the computed polymorphs	311	meV/atom

No. 4
First-principles (PBE) data for AcCu2Pb2 after structural relaxation, as listed in Alexandria.

Cell: 4.747 4.747 10.941 Å, 90.00 90.00 90.00°
Space group P4/nmm (No. 129, origin choice 2)
Asymmetric unit:
Ac1 0.250 0.250 0.235 [2 per cell]
Cu1 0.250 0.250 0.635 [2 per cell]
Cu2 0.250 0.750 0.000 [2 per cell]
Pb1 0.250 0.250 0.877 [2 per cell]
Pb2 0.250 0.750 0.500 [2 per cell]

Properties
calculated formation energy	-0.226	eV per atom

No. 5
First-principles (PBE) data for CdBRh3 after structural relaxation, as listed in Alexandria.

Cell: 16.852 4.177 4.175 Å, 90.00 104.32 90.00°
Space group C2/m (No. 12)
Asymmetric unit:
Cd1 0.069 0.000 0.319 [4 per cell]
B1 0.175 0.500 0.926 [4 per cell]
Rh1 0.053 0.500 0.803 [4 per cell]
Rh2 0.188 0.500 0.438 [4 per cell]
Rh3 0.193 0.000 0.942 [4 per cell]

Properties
calculated formation energy	-0.184	eV per atom
relative energy among the computed polymorphs	26	meV/atom

No. 6
First-principles (PBE) data for GaSnMo3 after structural relaxation, as listed in Alexandria.

Cell: 4.899 4.899 4.899 Å, 90.00 90.00 90.00°
Space group Pm-3m (No. 221)
Asymmetric unit:
Ga1 0.000 0.000 0.000 [1 per cell]
Sn1 0.500 0.500 0.500 [1 per cell]
Mo1 0.000 0.500 0.500 [3 per cell]

Properties
calculated formation energy	2.141	eV per atom
relative energy among the computed polymorphs	873	meV/atom

Number 1: ρ 5.18 Mg/m³. Number 2: ρ 4.63 Mg/m³. Number 3: ρ 8.32 Mg/m³. Number 4: ρ 10.35 Mg/m³. Number 5: ρ 10.07 Mg/m³. Number 6: ρ 6.73 Mg/m³.